Ca5CoO6 | PBE with a Hubbard U | optimized geometry

Summary:
- total magnetization (μB per atom) = 0.258
- symmetry = C2/m (12)
- calculated volume (Å³ per atom) = 13.4
- raw total energy (eV/atom) = -6.335

POSCAR file:
```
Ca5CoO6
1.0
5.8028 0.1536 0.0000
1.7809 5.5335 0.0000
0.8905 2.7668 5.0473
Ca Co O
5 1 6
Direct
0.5000 0.1636 0.6729 Ca
0.0000 0.3325 0.3351 Ca
0.5000 0.5000 0.0000 Ca
0.0000 0.6675 0.6649 Ca
0.5000 0.8364 0.3271 Ca
0.0000 0.0000 0.0000 Co
0.7539 0.0824 0.3232 O
0.2461 0.5944 0.3232 O
0.2414 0.2406 0.0000 O
0.7587 0.7594 0.0000 O
0.7539 0.4056 0.6768 O
0.2461 0.9176 0.6768 O
```